# 1
Entry from the Alexandria database: an optimized crystal structure of Re (PBE).

Unit cell a=6.9352 b=6.9352 c=6.9352 alpha=90.00 beta=90.00 gamma=90.00
Sites, in units of the cell vectors:
Re 0.2500 0.0000 0.5000
Re 0.7500 0.0000 0.5000
Re 0.0000 0.5000 0.2500
Re 0.0000 0.5000 0.7500
Re 0.5000 0.2500 0.0000
Re 0.5000 0.7500 0.0000
Re 0.0000 0.7500 0.5000
Re 0.0000 0.2500 0.5000
Re 0.7500 0.5000 0.0000
Re 0.2500 0.5000 0.0000
Re 0.5000 0.0000 0.7500
Re 0.5000 0.0000 0.2500

Output
For the magnetic moment, the calculation gives 0.000 μB/f.u. The offset from the most stable computed form is 2.001 eV per atom. The space-group type is No. 229.



# 2
Entry from the Alexandria database: an optimized crystal structure of Re (PBE).

Unit cell a=5.3157 b=5.3157 c=4.5587 alpha=90.00 beta=90.00 gamma=90.00
Sites, in units of the cell vectors:
Re 0.6738 0.1738 0.0000
Re 0.6738 0.8262 0.5000
Re 0.3262 0.1738 0.5000
Re 0.3262 0.8262 0.0000
Re 0.8262 0.3262 0.5000
Re 0.8262 0.6738 0.0000
Re 0.1738 0.3262 0.0000
Re 0.1738 0.6738 0.5000

Output
For the magnetic moment, the calculation gives 0.000 μB/f.u. The offset from the most stable computed form is 0.388 eV per atom. The space-group type is No. 140.



# 3
Entry from the Alexandria database: an optimized crystal structure of Re (PBE).

Unit cell a=11.5811 b=4.4686 c=4.7358 alpha=90.00 beta=90.00 gamma=90.00
Sites, in units of the cell vectors:
Re 0.8816 0.2500 0.8098
Re 0.8816 0.7500 0.1902
Re 0.1184 0.7500 0.1902
Re 0.1184 0.2500 0.8098
Re 0.3816 0.7500 0.3098
Re 0.3816 0.2500 0.6902
Re 0.6184 0.2500 0.6902
Re 0.6184 0.7500 0.3098
Re 0.0000 0.2500 0.3203
Re 0.0000 0.7500 0.6797
Re 0.5000 0.7500 0.8203
Re 0.5000 0.2500 0.1797
Re 0.2500 0.2500 0.2500
Re 0.2500 0.7500 0.7500
Re 0.7500 0.7500 0.7500
Re 0.7500 0.2500 0.2500

Output
For the magnetic moment, the calculation gives 0.000 μB/f.u. The offset from the most stable computed form is 0.239 eV per atom. The space-group type is No. 74.



# 4
Entry from the Alexandria database: an optimized crystal structure of Re (PBE).

Unit cell a=2.7780 b=2.7780 c=4.4764 alpha=90.00 beta=90.00 gamma=120.00
Sites, in units of the cell vectors:
Re 0.3333 0.6667 0.7500
Re 0.6667 0.3333 0.2500

Output
For the magnetic moment, the calculation gives 0.000 μB/f.u. The offset from the most stable computed form is 0.000 eV per atom. The space-group type is No. 194.



no.,ΔH_f (0 K) (kJ/mol of formula units),theoretical density (g/cm³)
1,193,11.12
2,37,19.20
3,23,20.19
4,0,20.67